The following is a DFT calculation (GGA+U) of a relaxed structure of KCoP2H5O9.

abc: 6.611 7.804 15.640
angles: 90.00 90.00 90.00
Sites, in units of the cell vectors:
Co  0.945  0.750  0.805
Co  0.055  0.250  0.195
Co  0.445  0.250  0.695
Co  0.555  0.750  0.305
O  0.458  0.474  0.925
O  0.073  0.556  0.730
O  0.805  0.750  0.217
O  0.812  0.938  0.885
O  0.688  0.938  0.385
O  0.721  0.247  0.888
O  0.549  0.524  0.076
O  0.428  0.943  0.228
O  0.312  0.438  0.615
O  0.072  0.943  0.728
O  0.221  0.747  0.612
O  0.691  0.253  0.606
O  0.809  0.253  0.106
O  0.179  0.053  0.114
O  0.321  0.053  0.614
O  0.305  0.250  0.283
O  0.573  0.056  0.770
O  0.542  0.974  0.075
O  0.427  0.556  0.230
O  0.958  0.974  0.575
O  0.451  0.024  0.924
O  0.279  0.747  0.112
O  0.951  0.524  0.576
O  0.309  0.753  0.394
O  0.821  0.553  0.886
O  0.191  0.753  0.894
O  0.927  0.056  0.270
O  0.695  0.750  0.717
O  0.572  0.443  0.772
O  0.779  0.247  0.388
O  0.928  0.443  0.272
O  0.188  0.438  0.115
O  0.195  0.250  0.783
O  0.042  0.474  0.425
O  0.679  0.553  0.386
O  0.049  0.024  0.424
H  0.280  0.652  0.896
H  0.881  0.857  0.232
H  0.381  0.357  0.268
H  0.501  0.996  0.008
H  0.999  0.996  0.508
H  0.117  0.146  0.768
H  0.883  0.646  0.232
H  0.001  0.496  0.492
H  0.720  0.152  0.104
H  0.619  0.857  0.732
H  0.220  0.652  0.396
H  0.119  0.357  0.768
H  0.282  0.854  0.897
H  0.782  0.354  0.603
H  0.218  0.854  0.397
H  0.383  0.146  0.268
H  0.499  0.496  0.992
H  0.718  0.354  0.103
H  0.780  0.152  0.604
H  0.617  0.646  0.732
P  0.366  0.555  0.136
P  0.644  0.438  0.864
P  0.634  0.055  0.864
P  0.134  0.555  0.636
P  0.856  0.438  0.364
P  0.866  0.055  0.364
P  0.144  0.938  0.636
P  0.356  0.938  0.136
K  0.382  0.247  0.464
K  0.618  0.747  0.536
K  0.882  0.747  0.036
K  0.118  0.247  0.964

Output
The density is 2.54 g/cm3. The calculation puts the total energy at -108.3 eV/f.u. Its space group is Pna2_1.